# 1
! PBE-GGA FeBPb, optimized geometry; values from VASP
! theoretical density	10.0	g/cm3
! offset from the most stable computed form	0	meV/atom
&SYSTEM
  ibrav = 0, nat = 3, ntyp = 3
/
ATOMIC_SPECIES
Fe 55.84 Fe.upf
B 10.81 B.upf
Pb 207.20 Pb.upf
ATOMIC_POSITIONS angstrom
Fe 1.4168 1.4168 1.4168
B 0.0000 0.0000 0.0000
Pb 4.2505 4.2505 4.2505
CELL_PARAMETERS angstrom
0.0000 2.8336 2.8336
2.8336 0.0000 2.8336
2.8336 2.8336 0.0000


# 2
! PBE-GGA Ho3FeB8, optimized geometry; values from VASP
! theoretical density	7.4	g/cm3
! DFT total energy	-78.37	eV per cell
&SYSTEM
  ibrav = 0, nat = 12, ntyp = 3
/
ATOMIC_SPECIES
B 10.81 B.upf
Fe 55.84 Fe.upf
Ho 164.93 Ho.upf
ATOMIC_POSITIONS angstrom
B 2.9942 -5.3298 12.0593
B 0.4979 -4.1748 8.5970
B 1.4031 -4.9492 12.5034
B 1.7438 -6.4351 11.7621
B 0.8991 -2.4471 5.3182
B 2.5931 -7.0575 15.3380
B 2.0890 -4.5554 8.1529
B 1.7484 -3.0694 8.8942
Fe 1.7461 -4.7523 10.3281
Ho 0.0000 0.0000 0.0000
Ho 3.0347 -8.2595 17.9503
Ho 0.4575 -1.2451 2.7060
CELL_PARAMETERS angstrom
0.3352 -5.5289 5.9393
3.7527 -2.5080 6.7516
-0.5957 -1.4677 7.9654


# 3
! PBE-GGA RbMoN2, optimized geometry; values from VASP
! theoretical density	4.5	g/cm3
! DFT total energy	-60.08	eV per cell
&SYSTEM
  ibrav = 0, nat = 8, ntyp = 3
/
ATOMIC_SPECIES
N 14.01 N.upf
Rb 85.47 Rb.upf
Mo 95.94 Mo.upf
ATOMIC_POSITIONS angstrom
N 3.4137 1.4940 3.2423
N 4.4930 -0.4147 1.0705
N 1.5051 0.4147 1.0705
N 2.5844 -1.4940 3.2423
Rb 0.0000 2.9991 2.1564
Rb 0.0000 0.0000 4.3127
Mo 2.9991 0.0000 2.1564
Mo 0.0000 0.0000 0.0000
CELL_PARAMETERS angstrom
-2.9991 2.9991 4.3127
2.9991 -2.9991 4.3127
2.9991 2.9991 -4.3127